# 1
# Na12Hg6Ge, relaxed, DFT GGA-PBE
data_Na12Hg6Ge
_cell_length_a 8.065
_cell_length_b 8.065
_cell_length_c 8.065
_cell_angle_alpha 88.71
_cell_angle_beta 88.71
_cell_angle_gamma 88.71
_space_group_name_H-M_alt 'P 1'
_space_group_IT_number 1
loop_
_space_group_symop_operation_xyz
'x,y,z'
loop_
_atom_site_label
_atom_site_type_symbol
_atom_site_fract_x
_atom_site_fract_y
_atom_site_fract_z
Na1 Na 0.033 0.306 0.931
Na2 Na 0.069 0.967 0.694
Na3 Na 0.136 0.359 0.479
Na4 Na 0.306 0.931 0.033
Na5 Na 0.359 0.479 0.136
Na6 Na 0.479 0.136 0.359
Na7 Na 0.521 0.864 0.641
Na8 Na 0.641 0.521 0.864
Na9 Na 0.694 0.069 0.967
Na10 Na 0.864 0.641 0.521
Na11 Na 0.931 0.033 0.306
Na12 Na 0.967 0.694 0.069
Hg1 Hg 0.225 0.758 0.387
Hg2 Hg 0.242 0.613 0.775
Hg3 Hg 0.387 0.225 0.758
Hg4 Hg 0.613 0.775 0.242
Hg5 Hg 0.758 0.387 0.225
Hg6 Hg 0.775 0.242 0.613
Ge1 Ge 0.500 0.500 0.500
# Total DFT energy (no corrections) (eV/atom): -1.3234
# Crystal system: trigonal
# N(E_F) (states/eV per atom): 0.41
# Spin magnetization (μB/atom): 0.000


# 2
# Na2Hg2Ge, relaxed, DFT GGA-PBE
data_Na2Hg2Ge
_cell_length_a 7.280
_cell_length_b 7.280
_cell_length_c 4.944
_cell_angle_alpha 90.00
_cell_angle_beta 90.00
_cell_angle_gamma 90.00
_space_group_name_H-M_alt 'P 1'
_space_group_IT_number 1
loop_
_space_group_symop_operation_xyz
'x,y,z'
loop_
_atom_site_label
_atom_site_type_symbol
_atom_site_fract_x
_atom_site_fract_y
_atom_site_fract_z
Na1 Na 0.173 0.327 0.000
Na2 Na 0.327 0.827 0.000
Na3 Na 0.673 0.173 0.000
Na4 Na 0.827 0.673 0.000
Hg1 Hg 0.144 0.644 0.500
Hg2 Hg 0.356 0.144 0.500
Hg3 Hg 0.644 0.856 0.500
Hg4 Hg 0.856 0.356 0.500
Ge1 Ge 0.000 0.000 0.500
Ge2 Ge 0.500 0.500 0.500
# Total DFT energy (no corrections) (eV/atom): -1.6501
# Crystal system: tetragonal
# N(E_F) (states/eV per atom): 0.42
# Spin magnetization (μB/atom): 0.000
# Energy above the lowest structure with this stoichiometry (meV/atom): 0


Calculated values (Å³ per cell) of calculated volume for the records, taken in order: 524 262.